First-principles (PBE+U) data for MnZnO2 after structural relaxation, as listed in the Alexandria database.

Values from the calculation:
Density (g cm⁻³): 5.83
Final energy (eV per atom): -6.12
Space-group type: I4_1/amd

a b c (Å): 5.3958 5.3958 5.3958
angles (deg): 131.30 131.30 71.33
Last column: nearest neighbours and their distance in Å.
Element x y z (fractional)
Mn1 0.3750 0.6250 0.7500  6 O 2.23-2.25
Mn2 0.6250 0.3750 0.2500  6 O 2.23-2.25
Zn1 0.1250 0.8750 0.2500  6 O 2.13-2.23
Zn2 0.8750 0.1250 0.7500  6 O 2.13-2.23
O1 0.1181 0.3681 0.7500  3 Zn 2.13-2.23, 3 Mn 2.23-2.25
O2 0.3681 0.1181 0.2500  3 Zn 2.13-2.23, 3 Mn 2.23-2.25
O3 0.6319 0.8819 0.7500  3 Zn 2.13-2.23, 3 Mn 2.23-2.25
O4 0.8819 0.6319 0.2500  3 Zn 2.13-2.23, 3 Mn 2.23-2.25